Material: Tl2In2Au
Method: DFT, GGA-PBE
State: optimized geometry

Output
The value obtained for the formation energy is -0.1 eV/f.u. Its crystal system is tetragonal. For the density of states at the Fermi level, the calculation gives 5.47 states/eV per cell. The relative energy among the computed polymorphs comes out at 0 meV per atom. As for the space group: No. 127.

Unit cell a=7.258 b=7.258 c=5.312 alpha=90.00 beta=90.00 gamma=90.00
Fractional coordinates of all 10 atoms:
Tl: 0.831 0.331 0.500
Tl: 0.169 0.669 0.500
Tl: 0.331 0.169 0.500
Tl: 0.669 0.831 0.500
In: 0.354 0.854 0.000
In: 0.646 0.146 0.000
In: 0.146 0.354 0.000
In: 0.854 0.646 0.000
Au: 0.500 0.500 0.000
Au: 0.000 0.000 0.000


Material: TlInAu2
Method: DFT, GGA-PBE
State: optimized geometry

Output
The value obtained for the formation energy is -0.4 eV/f.u. Its crystal system is orthorhombic. For the density of states at the Fermi level, the calculation gives 1.75 states/eV per cell. As for the space group: No. 63.

Unit cell a=4.140 b=6.676 c=7.144 alpha=90.00 beta=90.00 gamma=108.06
Fractional coordinates of all 8 atoms:
Au: 0.383 0.765 0.548
Au: 0.617 0.235 0.048
Au: 0.383 0.765 0.952
Au: 0.617 0.235 0.452
In: 0.233 0.465 0.250
In: 0.767 0.535 0.750
Tl: 0.048 0.097 0.750
Tl: 0.952 0.903 0.250


Material: TlIn2Au
Method: DFT, GGA-PBE
State: optimized geometry

Output
The value obtained for the formation energy is 0.1 eV/f.u. Its crystal system is monoclinic. For the density of states at the Fermi level, the calculation gives 1.26 states/eV per cell. The relative energy among the computed polymorphs comes out at 156 meV per atom. As for the space group: No. 12.

Unit cell a=6.153 b=6.153 c=4.208 alpha=71.84 beta=71.84 gamma=121.37
Fractional coordinates of all 4 atoms:
Tl: 0.500 0.000 0.500
In: 0.000 0.000 0.000
In: 0.500 0.500 0.000
Au: 0.000 0.500 0.500


Energy across the listed records, respectively: -2.723; -3.018; -2.747 eV/atom.